Record 1
Here is a geometry-optimized KAuC3 structure from Alexandria. Energies are from GGA-PBE.

```
KAuC3
1.0
4.350 0.000 0.000
0.000 4.350 0.000
0.000 0.000 4.350
K Au C
1 1 3
Direct
0.000 0.000 0.000
0.500 0.500 0.500
0.000 0.500 0.500
0.500 0.000 0.500
0.500 0.500 0.000
```

Results
Raw total energy in eV per atom: -3.534
Relative energy among the computed polymorphs in meV/atom: 0
Formation energy in eV per formula unit: 14.37
M_tot in Bohr magnetons per cell: 1.2
D(E_F) in states/eV/atom: 1.436


Record 2
Here is a geometry-optimized InI2O structure from Alexandria. Energies are from GGA-PBE.

```
InI2O
1.0
0.000 3.738 3.738
3.738 0.000 3.738
3.738 3.738 0.000
In I O
1 2 1
Direct
0.000 0.000 0.000
0.250 0.250 0.250
0.750 0.750 0.750
0.500 0.500 0.500
```

Results
Raw total energy in eV per atom: -2.270
Relative energy among the computed polymorphs in meV/atom: 348
M_tot in Bohr magnetons per cell: 1.4
D(E_F) in states/eV/atom: 1.269
Energy relative to the elements, uncorrected in eV/atom: 0.4288


Record 3
Here is a geometry-optimized Tm2Be2AlNi5 structure from Alexandria. Energies are from GGA-PBE.

```
Tm2Be2AlNi5
1.0
8.989 0.000 0.000
0.000 8.989 0.000
0.000 0.000 3.278
Tm Be Al Ni
4 4 2 10
Direct
0.180 0.320 0.000
0.320 0.820 0.000
0.680 0.180 0.000
0.820 0.680 0.000
0.114 0.614 0.000
0.386 0.114 0.000
0.614 0.886 0.000
0.886 0.386 0.000
0.000 0.000 0.000
0.500 0.500 0.000
0.000 0.500 0.500
0.065 0.781 0.500
0.219 0.065 0.500
0.281 0.565 0.500
0.435 0.281 0.500
0.500 0.000 0.500
0.565 0.719 0.500
0.719 0.435 0.500
0.781 0.935 0.500
0.935 0.219 0.500
```

Results
Raw total energy in eV per atom: -5.381
Formation energy in eV per formula unit: -4.76
M_tot in Bohr magnetons per cell: 0.0
D(E_F) in states/eV/atom: 0.565


Record 4
Here is a geometry-optimized La3CoMo structure from Alexandria. Energies are from GGA-PBE.

```
La3CoMo
1.0
5.195 0.000 0.000
0.000 5.195 0.000
0.000 0.000 5.195
La Co Mo
3 1 1
Direct
0.000 0.000 0.500
0.000 0.500 0.000
0.500 0.000 0.000
0.000 0.000 0.000
0.500 0.500 0.500
```

Results
Raw total energy in eV per atom: -5.952
Relative energy among the computed polymorphs in meV/atom: 0
Formation energy in eV per formula unit: 2.96
M_tot in Bohr magnetons per cell: 0.0
D(E_F) in states/eV/atom: 2.504


Record 5
Here is a geometry-optimized CsUPb2S5 structure from Alexandria. Energies are from GGA-PBE.

```
CsUPb2S5
1.0
-2.587 3.791 6.990
2.587 -3.791 6.990
2.587 3.791 -6.990
Cs U Pb S
1 1 2 5
Direct
0.000 0.000 0.000
0.500 0.500 0.000
0.287 0.787 0.500
0.713 0.213 0.500
0.131 0.362 0.769
0.407 0.638 0.769
0.500 0.000 0.500
0.593 0.362 0.231
0.869 0.638 0.231
```

Results
Raw total energy in eV per atom: -5.396
M_tot in Bohr magnetons per cell: 1.0
D(E_F) in states/eV/atom: 0.385
Energy relative to the elements, uncorrected in eV/atom: -0.9301


Record 6
Here is a geometry-optimized LiSc3Zn structure from Alexandria. Energies are from GGA-PBE.

```
LiSc3Zn
1.0
5.147 0.000 0.000
0.000 5.147 0.000
0.000 0.000 5.147
Li Sc Zn
1 3 1
Direct
0.000 0.000 0.000
0.000 0.500 0.500
0.500 0.000 0.500
0.500 0.500 0.000
0.500 0.500 0.500
```

Results
Raw total energy in eV per atom: -4.082
Relative energy among the computed polymorphs in meV/atom: 0
Formation energy in eV per formula unit: 1.77
M_tot in Bohr magnetons per cell: 0.8
D(E_F) in states/eV/atom: 1.981


Record 7
Here is a geometry-optimized KLa2OsSe structure from Alexandria. Energies are from GGA-PBE.

```
KLa2OsSe
1.0
5.372 0.000 0.000
0.000 5.372 0.000
0.000 0.000 5.976
K La Os Se
1 2 1 1
Direct
0.000 0.000 0.000
0.000 0.500 0.500
0.500 0.000 0.500
0.000 0.000 0.500
0.500 0.500 0.000
```

Results
Raw total energy in eV per atom: -5.269
M_tot in Bohr magnetons per cell: 0.0
D(E_F) in states/eV/atom: 0.588
Energy relative to the elements, uncorrected in eV/atom: -0.1352